[1]
Computed, not measured: PrNdIn2Ir4 after structural relaxation at the PBE level of DFT.

The space group is P-6m2 (No. 187) and the conventional cell measures 4.6329, 4.6329 and 9.0642 Å, with angles of 90.00, 90.00 and 120.00 degrees. The inequivalent atoms are Pr at (0.0000, 0.0000, 0.0000), Nd at (0.3333, 0.6667, 0.5000), In at (0.6667, 0.3333, 0.2502), Ir at (0.0000, 0.0000, 0.3539) and Ir at (0.3333, 0.6667, 0.1481).

The spin magnetization comes out at 0.0 μB per formula unit. Its crystal system is hexagonal.

[2]
Computed, not measured: NdDyGa2Au2 after structural relaxation at the PBE level of DFT.

The space group is P-6m2 (No. 187) and the conventional cell measures 4.5696, 4.5696 and 7.2413 Å, with angles of 90.00, 90.00 and 120.00 degrees. The inequivalent atoms are Nd at (0.0000, 0.0000, 0.0000), Dy at (0.0000, 0.0000, 0.5000), Ga at (0.3333, 0.6667, 0.2905) and Au at (0.6667, 0.3333, 0.2567).

The polymorph energy (0 for the lowest one) comes out at 0.0 meV/atom. The spin magnetization comes out at 0.0 μB per formula unit. Its crystal system is hexagonal.

[3]
Computed, not measured: DyHo2Fe3Ni6 after structural relaxation at the PBE level of DFT.

The space group is R-3m (No. 166, hexagonal axes) and the conventional cell measures 4.9965, 4.9965 and 24.0200 Å, with angles of 90.00, 90.00 and 120.00 degrees. The inequivalent atoms are Dy at (0.0000, 0.0000, 0.0000), Ho at (0.0000, 0.0000, 0.1389), Fe at (0.0000, 0.0000, 0.3333), Fe at (0.0000, 0.0000, 0.5000) and Ni at (0.0007, 0.5004, 0.9175).

The spin magnetization comes out at 8.7 μB per formula unit. The calculated formation energy comes out at -296 meV/atom. Its crystal system is trigonal.

[4]
Computed, not measured: LiInAg2 after structural relaxation at the PBE level of DFT.

The space group is I4/mmm (No. 139) and the conventional cell measures 4.498, 4.498 and 7.205 Å, with angles of 90.00, 90.00 and 90.00 degrees. The inequivalent atoms are Li at (0.000, 0.000, 0.000), In at (0.000, 0.000, 0.500) and Ag at (0.000, 0.500, 0.250).

Its crystal system is tetragonal.

[5]
Computed, not measured: W3AuC2 after structural relaxation at the PBE level of DFT.

The space group is P6_3/mmc (No. 194) and the conventional cell measures 3.0628, 3.0628 and 19.1316 Å, with angles of 90.00, 90.00 and 120.00 degrees. The inequivalent atoms are W at (0.0000, 0.0000, 0.0000), W at (0.3333, 0.6667, 0.1281), Au at (0.0000, 0.0000, 0.2500) and C at (0.3333, 0.6667, 0.5686).

The spin magnetization comes out at 0.0 μB per formula unit. Its crystal system is hexagonal.

[6]
Computed, not measured: NdTlZnS3 after structural relaxation at the PBE level of DFT.

The space group is C2/m (No. 12) and the conventional cell measures 16.726, 4.180 and 8.970 Å, with angles of 90.00, 107.49 and 90.00 degrees. The inequivalent atoms are Nd at (0.175, 0.000, 0.114), Tl at (0.135, 0.000, 0.573), Zn at (0.000, 0.500, 0.213), S at (0.000, 0.000, 0.000), S at (0.000, 0.500, 0.500), S at (0.149, 0.500, 0.302) and S at (0.154, 0.500, 0.884).

The polymorph energy (0 for the lowest one) comes out at 145.0 meV/atom. The spin magnetization comes out at 0.0 μB per formula unit. Its crystal system is monoclinic.

[7]
Computed, not measured: ZrPaNO after structural relaxation at the PBE level of DFT.

The space group is Pmc2_1 (No. 26) and the conventional cell measures 3.610, 6.338 and 5.925 Å, with angles of 90.00, 90.00 and 90.00 degrees. The inequivalent atoms are Zr at (0.000, 0.121, 0.000), Pa at (0.500, 0.328, 0.553), N at (0.500, 0.331, 0.948) and O at (0.000, 0.215, 0.354).

The polymorph energy (0 for the lowest one) comes out at 162.6 meV/atom. The spin magnetization comes out at 0.2 μB per formula unit. Its crystal system is orthorhombic.

[8]
Computed, not measured: GaNiSb after structural relaxation at the PBE level of DFT.

The space group is F-43m (No. 216) and the conventional cell measures 6.256, 6.256 and 6.256 Å, with angles of 90.00, 90.00 and 90.00 degrees. The inequivalent atoms are Ga at (0.000, 0.000, 0.000), Ni at (0.000, 0.000, 0.500) and Sb at (0.250, 0.250, 0.250).

The polymorph energy (0 for the lowest one) comes out at 502.8 meV/atom. The spin magnetization comes out at 0.0 μB per formula unit. Its crystal system is cubic.

| no. | volume (Å³/atom) | DFT total energy (eV per atom) |
| --- | --- | --- |
| 1 | 21.06 | -6.614 |
| 2 | 21.83 | -4.464 |
| 3 | 14.43 | -6.304 |
| 4 | 18.22 | -2.793 |
| 5 | 12.95 | -9.870 |
| 6 | 24.92 | -4.509 |
| 7 | 16.94 | -9.077 |
| 8 | 20.41 | -3.985 |